[1]
The following is a DFT calculation (PBE with a Hubbard U) of an optimized crystal structure of CdNiIO2.

abc: 4.1080 4.1080 6.8376
angles: 90.00 90.00 90.00
Last column: nearest neighbours and their distance in Å.
Element x y z (fractional)
Cd 0.0000 0.0000 0.0000  4 O 2.05
Ni 0.5000 0.5000 0.5000  4 I 2.90
I 0.0000 0.0000 0.5000  4 Ni 2.90
O 0.0000 0.5000 0.0000  2 Cd 2.05
O 0.5000 0.0000 0.0000  2 Cd 2.05

The magnetization comes out at 2.4 μB/f.u. Its density of states at the Fermi level is 1.070 states/eV/atom. The symmetry is No. 123.

[2]
The following is a DFT calculation (PBE with a Hubbard U) of an optimized crystal structure of CdNiIO2.

abc: 4.0290 4.0290 5.6591
angles: 90.00 90.00 90.00
Last column: nearest neighbours and their distance in Å.
Element x y z (fractional)
Cd 0.0000 0.0000 0.0000  4 I 2.85
Ni 0.5000 0.5000 0.5000  4 O 2.01
I 0.5000 0.5000 0.0000  2 Ni 2.83, 4 Cd 2.85
O 0.0000 0.5000 0.5000  2 Ni 2.01
O 0.5000 0.0000 0.5000  2 Ni 2.01

The magnetization comes out at 2.9 μB/f.u. Its density of states at the Fermi level is 0.370 states/eV/atom. The symmetry is No. 123.

Number 1: E_tot -13.35 eV for the cell shown. Number 2: E_tot -14.70 eV for the cell shown.